1.
Below is crystalline Th3B7Mo at its relaxed geometry, with properties calculated at the PBE level.

Calculated values
VASP energy = -84.864 eV/f.u.
ρ = 9.73 g/cm3

a b c (Å): 3.756 16.426 9.602
angles (deg): 90.00 90.00 90.00
Space group Cmcm (No. 63)
Unique sites:
Th: 0.000 0.104 0.062
Th: 0.000 0.244 0.750
B: 0.000 0.277 0.033
B: 0.000 0.368 0.153
B: 0.000 0.465 0.750
B: 0.000 0.476 0.098
Mo: 0.000 0.055 0.750

=====

2.
Below is crystalline Ti2B2Mo at its relaxed geometry, with properties calculated at the PBE level.

Calculated values
VASP energy = -39.750 eV/f.u.
ρ = 5.38 g/cm3

a b c (Å): 4.721 12.396 4.497
angles (deg): 90.00 90.00 90.00
Space group Cmcm (No. 63)
Unique sites:
Ti: 0.000 0.108 0.250
Ti: 0.000 0.283 0.750
B: 0.193 0.351 0.250
Mo: 0.000 0.500 0.000

=====

3.
Below is crystalline Ti4BMo2 at its relaxed geometry, with properties calculated at the PBE level.

Calculated values
VASP energy = -57.354 eV/f.u.
ρ = 5.67 g/cm3

a b c (Å): 4.272 4.272 12.640
angles (deg): 90.00 90.00 90.00
Space group I4/mmm (No. 139)
Unique sites:
Ti: 0.000 0.000 0.176
Ti: 0.000 0.500 0.000
B: 0.000 0.000 0.000
Mo: 0.000 0.000 0.376

=====

4.
Below is crystalline Ti2B6Mo at its relaxed geometry, with properties calculated at the PBE level.

Calculated values
VASP energy = -74.120 eV/f.u.
ρ = 5.49 g/cm3

a b c (Å): 5.2839 5.2839 3.2109
angles (deg): 90.00 90.00 120.00
Space group P6/mmm (No. 191)
Unique sites:
Ti: 0.3333 0.6667 0.0000
B: 0.0000 0.3355 0.5000
Mo: 0.0000 0.0000 0.0000

=====

5.
Below is crystalline Ti2B2Mo at its relaxed geometry, with properties calculated at the PBE level.

Calculated values
VASP energy = -43.362 eV/f.u.
ρ = 6.13 g/cm3

a b c (Å): 6.035 6.035 3.173
angles (deg): 90.00 90.00 90.00
Space group P4/mbm (No. 127)
Unique sites:
Ti: 0.182 0.318 0.000
B: 0.105 0.605 0.500
Mo: 0.000 0.000 0.500

=====

6.
Below is crystalline TiBMo3 at its relaxed geometry, with properties calculated at the PBE level.

Calculated values
VASP energy = -35.674 eV/f.u.
ρ = 6.33 g/cm3

a b c (Å): 4.497 4.497 4.497
angles (deg): 90.00 90.00 90.00
Space group Pm-3m (No. 221)
Unique sites:
Ti: 0.000 0.000 0.000
B: 0.500 0.500 0.500
Mo: 0.000 0.000 0.500

=====

7.
Below is crystalline TiB4Mo6 at its relaxed geometry, with properties calculated at the PBE level.

Calculated values
VASP energy = -102.090 eV/f.u.
ρ = 8.17 g/cm3

a b c (Å): 5.700 5.700 8.343
angles (deg): 90.00 90.00 90.00
Space group I-42m (No. 121)
Unique sites:
Ti: 0.000 0.000 0.000
B: 0.136 0.136 0.559
Mo: 0.000 0.500 0.000
Mo: 0.192 0.192 0.276

=====

8.
Below is crystalline Ti3B3Mo at its relaxed geometry, with properties calculated at the PBE level.

Calculated values
VASP energy = -56.655 eV/f.u.
ρ = 5.50 g/cm3

a b c (Å): 7.7560 7.7560 4.7277
angles (deg): 90.00 90.00 120.00
Space group R3m (No. 160, hexagonal axes)
Unique sites:
Ti: 0.2003 0.4006 0.0000
B: 0.1699 0.3398 0.5225
Mo: 0.0000 0.0000 0.8109

=====

| no. | Fermi-level density of states (states/eV/atom) |
| --- | --- |
| 1 | 0.4013 |
| 2 | 0.7105 |
| 3 | 1.0487 |
| 4 | 0.3991 |
| 5 | 0.5801 |
| 6 | 0.8134 |
| 7 | 0.5093 |
| 8 | 0.6555 |